Compound: Th6Ga2OsSe3
Source: Alexandria
Functional: PBE
Structure: optimized geometry

Summary:
E_form (uncorrected) (eV per atom): -0.966
Calculated density (g/cm³): 9.83

Cell lengths 9.5239, 9.5239, 8.6057 Å; angles 102.73, 102.73, 25.81 degrees
Closest atoms and distances in Å follow each position.
Sites, in units of the cell vectors:
Th  0.9999  0.9999  0.2282  2 Os 2.90, 1 Ga 2.99, 3 Se 3.13-3.16
Th  0.0001  0.0001  0.7718  2 Os 2.90, 1 Ga 2.99, 3 Se 3.13-3.16
Th  0.3304  0.3304  0.4206  3 Ga 2.98-3.00, 3 Se 3.05-3.07
Th  0.3443  0.3443  0.9161  1 Os 2.82, 2 Ga 3.01, 3 Se 3.09-3.10
Th  0.6557  0.6557  0.0839  1 Os 2.82, 2 Ga 3.01, 3 Se 3.09-3.10
Th  0.6696  0.6696  0.5794  3 Ga 2.98-3.00, 3 Se 3.05-3.07
Ga  0.1648  0.1648  0.3346  6 Th 2.98-3.01
Ga  0.8352  0.8352  0.6654  6 Th 2.98-3.01
Os  0.5000  0.5000  0.0000  6 Th 2.82-2.90
Se  0.1727  0.1727  0.8347  6 Th 3.05-3.13
Se  0.5000  0.5000  0.5000  6 Th 3.07-3.16
Se  0.8273  0.8273  0.1653  6 Th 3.05-3.13